[1]
A plane-wave DFT calculation with PBE-GGA was carried out for an optimized crystal structure of FeCo2Mo.

Summary:
E_tot	-8.36	eV/atom
total moment	2.470	Bohr magnetons per cell
formation energy	0.06	eV/f.u.
offset from the most stable computed form	0.0003	eV/atom

The structure in extended XYZ format:
```
4
Lattice="-1.820 1.820 3.583 1.820 -1.820 3.583 1.820 1.820 -3.583" Properties=species:S:1:pos:R:3 pbc="T T T"
Fe 0.000 0.000 0.000
Co 1.820 0.000 1.792
Co 0.000 1.820 1.792
Mo 0.000 0.000 3.583
```

***

[2]
A plane-wave DFT calculation with PBE-GGA was carried out for an optimized crystal structure of HoThSi4.

Summary:
E_tot	-6.18	eV/atom
total moment	0.000	Bohr magnetons per cell
formation energy from raw total energies	-54.7	kJ/mol of atoms

The structure in extended XYZ format:
```
24
Lattice="7.036 0.000 0.000 0.000 16.687 0.000 0.000 0.000 4.038" Properties=species:S:1:pos:R:3 pbc="T T T"
Ho 1.757 1.018 0.000
Ho 1.761 9.362 0.000
Ho 5.275 7.326 0.000
Ho 5.279 15.669 0.000
Th 1.755 5.238 0.000
Th 1.763 13.581 0.000
Th 5.273 3.106 0.000
Th 5.282 11.449 0.000
Si 0.568 7.319 2.019
Si 0.571 15.664 2.019
Si 0.581 3.112 2.019
Si 0.591 11.453 2.019
Si 2.928 3.109 2.019
Si 2.937 11.455 2.019
Si 2.948 7.320 2.019
Si 2.950 15.663 2.019
Si 4.086 1.024 2.019
Si 4.089 9.367 2.019
Si 4.099 5.232 2.019
Si 4.109 13.578 2.019
Si 6.446 5.235 2.019
Si 6.456 13.576 2.019
Si 6.466 1.023 2.019
Si 6.468 9.368 2.019
```

***

[3]
A plane-wave DFT calculation with PBE-GGA was carried out for an optimized crystal structure of Tb3NdHo4S8.

Summary:
E_tot	-6.36	eV/atom
total moment	0.000	Bohr magnetons per cell
formation energy from raw total energies	-191.8	kJ/mol of atoms

The structure in extended XYZ format:
```
16
Lattice="3.920 2.263 6.427 -3.920 2.263 6.427 0.000 -4.526 6.427" Properties=species:S:1:pos:R:3 pbc="T T T"
Tb -1.960 -1.132 6.427
Tb -1.960 1.132 12.854
Tb 0.000 2.263 6.427
Nd 0.000 0.000 0.000
Ho -3.920 0.000 9.641
Ho -1.960 1.132 3.214
Ho 1.960 1.132 3.214
Ho 0.000 0.000 9.641
S 0.000 0.000 4.791
S -1.926 -1.112 11.190
S 0.000 -2.224 8.092
S -1.926 1.112 8.092
S 1.926 -1.112 11.190
S 0.000 2.224 11.190
S 1.926 1.112 8.092
S 0.000 0.000 14.491
```

***

[4]
A plane-wave DFT calculation with PBE-GGA was carried out for an optimized crystal structure of BPdS.

Summary:
E_tot	-5.46	eV/atom
total moment	0.000	Bohr magnetons per cell
formation energy from raw total energies	-12.6	kJ/mol of atoms
offset from the most stable computed form	0.0797	eV/atom

The structure in extended XYZ format:
```
6
Lattice="5.823 -1.503 0.000 5.823 1.503 0.000 -0.620 0.000 4.820" Properties=species:S:1:pos:R:3 pbc="T T T"
B 0.647 0.000 0.566
B 10.378 0.000 4.254
Pd 4.474 1.015 1.512
Pd 6.552 1.015 3.307
S 3.587 0.014 3.666
S 7.438 0.014 1.154
```